No. 1
The following is a GGA-PBEsol calculation of an optimized crystal structure of Mg2POs, from the Alexandria database.

As for the calculated volume: 62.6 Å³/cell. As for the total DFT energy (no corrections): -5.213 eV/atom.

It has space group P4/mmm (No. 123), with a = 2.804 Å, b = 2.804 Å, c = 7.961 Å, α = 90.00°, β = 90.00° and γ = 90.00°. The inequivalent atoms are Mg at (0.000, 0.000, 0.246), P at (0.500, 0.500, 0.500) and Os at (0.500, 0.500, 0.000).

***

No. 2
The following is a GGA-PBEsol calculation of an optimized crystal structure of Tm4CdIr, from the Alexandria database.

As for the calculated volume: 2306.3 Å³/cell. As for the total DFT energy (no corrections): -5.647 eV/atom.

It has space group F-43m (No. 216), with a = 13.212 Å, b = 13.212 Å, c = 13.212 Å, α = 90.00°, β = 90.00° and γ = 90.00°. The inequivalent atoms are Tm at (0.000, 0.000, 0.188), Tm at (0.060, 0.250, 0.250), Tm at (0.100, 0.100, 0.600), Cd at (0.169, 0.169, 0.831) and Ir at (0.108, 0.108, 0.392).

***

No. 3
The following is a GGA-PBEsol calculation of an optimized crystal structure of CuMo3Au, from the Alexandria database.

As for the calculated volume: 107.2 Å³/cell. As for the total DFT energy (no corrections): -6.154 eV/atom.

It has space group Pm-3m (No. 221), with a = 4.750 Å, b = 4.750 Å, c = 4.750 Å, α = 90.00°, β = 90.00° and γ = 90.00°. The inequivalent atoms are Cu at (0.000, 0.000, 0.000), Mo at (0.000, 0.500, 0.500) and Au at (0.500, 0.500, 0.500).